[1]
## ZrSc2PbSe (PBE)

Data for an optimized crystal structure of ZrSc2PbSe.

a = 4.912 Å, b = 4.912 Å, c = 5.724 Å
α = 90.00°, β = 90.00°, γ = 90.00°
Space group P4/mmm (No. 123)
Symmetry-distinct sites (fractional):
Zr 0.000 0.000 0.000 x1
Sc 0.000 0.500 0.500 x2
Pb 0.500 0.500 0.000 x1
Se 0.500 0.500 0.500 x1

Calculated values
Its total energy is -28.5 eV per formula unit. The value obtained for the magnetic moment is 1.92 μB per formula unit. Its uncorrected formation energy is -0.3 kcal/mol of atoms.


[2]
## ScSiPb (PBE)

Data for an optimized crystal structure of ScSiPb.

a = 4.3436 Å, b = 4.3436 Å, c = 4.4554 Å
α = 90.00°, β = 90.00°, γ = 120.00°
Space group P3m1 (No. 156)
Symmetry-distinct sites (fractional):
Sc 0.0000 0.0000 0.0000 x1
Si 0.3333 0.6667 0.2062 x1
Pb 0.6667 0.3333 0.5418 x1

Calculated values
Its total energy is -15.4 eV per formula unit. The value obtained for the magnetic moment is 0.00 μB per formula unit. For the excess energy over the best structure of this formula in the dataset, the calculation gives 0.107 eV per atom. Its uncorrected formation energy is 0.4 kcal/mol of atoms.


[3]
## ScSiPb3 (PBE)

Data for an optimized crystal structure of ScSiPb3.

a = 5.366 Å, b = 5.366 Å, c = 5.366 Å
α = 90.00°, β = 90.00°, γ = 90.00°
Space group Pm-3m (No. 221)
Symmetry-distinct sites (fractional):
Sc 0.000 0.000 0.000 x1
Si 0.500 0.500 0.500 x1
Pb 0.000 0.500 0.500 x3

Calculated values
Its total energy is -20.0 eV per formula unit. The value obtained for the magnetic moment is 0.00 μB per formula unit. For the excess energy over the best structure of this formula in the dataset, the calculation gives 0.000 eV per atom. Its uncorrected formation energy is 13.2 kcal/mol of atoms.


[4]
## ScSiPb (PBE)

Data for an optimized crystal structure of ScSiPb.

a = 6.746 Å, b = 6.746 Å, c = 6.746 Å
α = 90.00°, β = 90.00°, γ = 90.00°
Space group F-43m (No. 216)
Symmetry-distinct sites (fractional):
Sc 0.000 0.000 0.000 x4
Si 0.250 0.250 0.750 x4
Pb 0.000 0.000 0.500 x4

Calculated values
Its total energy is -15.2 eV per formula unit. The value obtained for the magnetic moment is 0.00 μB per formula unit. For the excess energy over the best structure of this formula in the dataset, the calculation gives 0.184 eV per atom. Its uncorrected formation energy is 2.2 kcal/mol of atoms.


Q: Look up the total energy of the second one.
A: -15.4 eV per formula unit


Q: Which formula does entry 2 have?
A: ScSiPb


Q: Which value of magnetic moment does entry 1 give?
A: 1.92 μB per formula unit